HfCuTcSn after structural relaxation. Source: Alexandria, functional GGA-PBE.

Results
Total magnetic moment: 0.00 Bohr magnetons per cell
SG: F-43m, No. 216
Crystal system: cubic
Uncorrected energy: -0.265 Ha/atom

Lattice parameters (Å, degrees): 4.5904 4.5904 4.5904 60.00 60.00 60.00
With the nearest neighbours (Å) after each atom.
Element x y z (fractional)
Sn: 0.5000 0.5000 0.5000  4 Tc 2.81, 4 Cu 2.81
Hf: 0.0000 0.0000 0.0000  4 Cu 2.81, 4 Tc 2.81
Cu: 0.2500 0.2500 0.2500  4 Hf 2.81, 4 Sn 2.81
Tc: 0.7500 0.7500 0.7500  4 Hf 2.81, 4 Sn 2.81

TbDy2PaSe4 after structural relaxation. Source: Alexandria, functional GGA-PBE.

Results
Total magnetic moment: 0.49 Bohr magnetons per cell
SG: P2/m, No. 10
Crystal system: monoclinic
Uncorrected formation energy: -12.82 eV/f.u.
Uncorrected energy: -0.230 Ha/atom

Lattice parameters (Å, degrees): 4.0335 7.0942 7.0757 71.11 90.00 90.00
With the nearest neighbours (Å) after each atom.
Element x y z (fractional)
Se: 0.0000 0.7524 0.7498  3 Dy 2.87-2.88, 2 Tb 2.89, 1 Pa 2.90
Se: 0.5000 0.2464 0.7523  3 Dy 2.87, 1 Tb 2.89, 2 Pa 2.90
Se: 0.0000 0.2476 0.2502  3 Dy 2.87-2.88, 2 Tb 2.89, 1 Pa 2.90
Se: 0.5000 0.7536 0.2477  3 Dy 2.87, 1 Tb 2.89, 2 Pa 2.90
Dy: 0.5000 0.0000 0.5000  6 Se 2.87-2.88
Dy: 0.0000 0.0000 0.0000  6 Se 2.87
Tb: 0.5000 0.5000 0.0000  6 Se 2.89
Pa: 0.0000 0.5000 0.5000  6 Se 2.90

Question: Among the records above, which one has the lowest uncorrected energy?
Answer: HfCuTcSn

Question: What is the uncorrected energy in the first record?
Answer: -0.265 Ha/atom

Question: The lowest uncorrected energy belongs to which entry?
Answer: HfCuTcSn